Compound: Hf2BeCuIr
Source: the Alexandria database
Functional: PBE
Structure: optimized geometry Values from VASP.

The value obtained for the formation energy is 171 kJ/mol of formula units. Its uncorrected energy is -34.82 eV for the cell shown. As for the space group: No. 123.

The structure in Quantum ESPRESSO input format:
```
&SYSTEM
  ibrav = 0, nat = 5, ntyp = 4
/
ATOMIC_SPECIES
Hf 178.49 Hf.upf
Be 9.01 Be.upf
Cu 63.55 Cu.upf
Ir 192.22 Ir.upf
ATOMIC_POSITIONS angstrom
Hf 0.0000 2.5008 0.0000
Hf 2.5008 0.0000 0.0000
Be 0.0000 0.0000 2.0967
Cu 2.5008 2.5008 2.0967
Ir 0.0000 0.0000 0.0000
CELL_PARAMETERS angstrom
5.0017 0.0000 0.0000
0.0000 5.0017 0.0000
0.0000 0.0000 4.1935
```